Computed, not measured: a relaxed ThSi2Tc2P crystal at the PBE level of DFT.

Cell: 4.4199 4.4199 5.4861 Å, 90.00 90.00 90.00°
Closest atoms and distances in Å follow each position.
Positions (direct):
Tc 0.5000 0.0000 0.0000  2 P 2.21
Tc 0.0000 0.5000 0.0000  2 P 2.21
P 0.0000 0.0000 0.0000  4 Tc 2.21
Si 0.5000 0.5000 0.2793  1 Si 2.42, 4 Tc 2.69
Si 0.5000 0.5000 0.7207  1 Si 2.42, 4 Tc 2.69
Th 0.0000 0.0000 0.5000  2 P 2.74

Summary:
DOS(E_F) ... 0.972 states/eV/atom
Calculated total energy ... -7.839 eV/atom
Crystal system ... tetragonal
Formation energy without anion corrections ... -2.63 eV/f.u.